## MgRe (PBEsol)

Data for crystalline MgRe at its relaxed geometry.

POSCAR file:
```
MgRe
1.0
-2.526 -0.756 -0.844
1.438 -0.052 -4.259
1.298 -4.893 0.499
Mg Re
2 2
direct
0.000 0.500 0.915
0.500 0.000 0.085
0.000 0.000 0.574
0.500 0.500 0.426
```

Values from the calculation:
E above lowest polymorph   0.57 eV per formula unit
D(E_F)   1.53 states/eV/f.u.
M_tot   0.00 μB per atom
ΔE_f   0.387 eV per atom
VASP energy   -14.28 eV/f.u.
Space-group type   No. 59
Crystal system   orthorhombic